First-principles (GGA+U) data for a relaxed Mo2HO crystal, as listed in Alexandria via LeMat-Bulk.

Summary:
The calculation puts the distance to the lowest polymorph of the same formula at 0.000 eV/atom. For the electronic total energy, the calculation gives -5.22 eV per atom.

Cell: 5.723 5.723 5.723 Å, 134.98 134.98 65.56°
Fractional coordinates of all 8 atoms:
Mo 0.082 0.625 0.957
Mo 0.375 0.332 0.457
Mo 0.668 0.125 0.043
Mo 0.875 0.918 0.543
H 0.000 0.000 0.000
H 0.750 0.250 0.500
O 0.250 0.750 0.500
O 0.500 0.500 0.000